No. 1
AgPt2Au, relaxed, DFT PBEsol; formation energy = 0.0365 eV per atom
1.0
-2.3903 0.9928 1.0199
1.2613 -3.7374 2.8000
2.4906 3.6045 2.3285
Au Pt Ag
1 2 1
Cartesian
1.8883 1.0482 3.4052
0.0336 0.0324 0.0473
-0.5720 -0.2471 2.6942
1.3231 -1.4123 4.4758


No. 2
HgW, relaxed, DFT PBEsol; formation energy = 0.7356 eV per atom
1.0
-1.4391 2.3279 0.4461
0.5827 -2.1602 4.5335
4.4550 2.7249 0.1527
Hg W
2 2
Cartesian
1.9195 2.0897 3.9059
1.6790 0.8030 1.2264
0.3448 -0.4736 3.5837
3.2537 3.3662 1.5487


no.,N(E_F) (states/eV/f.u.),energy relative to the lowest polymorph listed for this composition (meV/atom),spin magnetization (μB per formula unit)
1,3.54,43.6,0.00
2,0.84,0.0,0.00